The following is a PBE-GGA calculation of RbSrSbI6 after structural relaxation, from the Alexandria database.

Cell and atoms, written as CIF:
```
data_RbSrSbI6
_chemical_formula_sum 'Rb1 Sr1 Sb1 I6'
_cell_length_a 8.2371
_cell_length_b 8.2371
_cell_length_c 8.0517
_cell_angle_alpha 90.00
_cell_angle_beta 90.00
_cell_angle_gamma 120.00
_space_group_name_H-M_alt 'P 3 1 2'
_space_group_IT_number 149
loop_
_space_group_symop_operation_xyz
'x,y,z'
'-y,x-y,z'
'-x+y,-x,z'
'-y,-x,-z'
'-x+y,y,-z'
'x,x-y,-z'
loop_
_atom_site_label
_atom_site_fract_x
_atom_site_fract_y
_atom_site_fract_z
Rb1 0.0000 0.0000 0.0000
Sr1 0.3333 0.6667 0.5000
Sb1 0.6667 0.3333 0.5000
I1 0.3798 0.0221 0.7249
```

Calculated values
formation energy without anion corrections = -1.05 eV/atom
electronic total energy = -25.499 eV/cell